No. 1
{"formula": "HfMgSe", "functional": "PBE-GGA", "state": "optimized geometry", "sg": "C2/m, No. 12", "total_energy_ev_per_cell": -33.8, "formation_energy_uncorrected_ev_per_atom": -0.62, "lattice": [[5.4467, -1.7756, 0.0000], [5.4467, 1.7756, 0.0000], [-2.0094, 0.0000, 6.8051]], "species": ["Hf", "Hf", "Mg", "Mg", "Se", "Se"], "fractional_positions": [[0.1271, 0.1271, 0.4511], [0.8729, 0.8729, 0.5489], [0.3912, 0.3912, 0.2057], [0.6088, 0.6088, 0.7943], [0.3299, 0.3299, 0.8088], [0.6701, 0.6701, 0.1912]]}

***

No. 2
{"formula": "Pm4PrTm4", "functional": "PBE-GGA", "state": "optimized geometry", "sg": "I4/mmm, No. 139", "total_energy_ev_per_cell": -41.5, "formation_energy_ev_per_atom": 0.021, "lattice": [[-5.3879, 5.3879, 2.5200], [5.3879, -5.3879, 2.5200], [5.3879, 5.3879, -2.5200]], "species": ["Pm", "Pm", "Pm", "Pm", "Pr", "Tm", "Tm", "Tm", "Tm"], "fractional_positions": [[0.0000, 0.3312, 0.3312], [0.0000, 0.6688, 0.6688], [0.3312, 0.0000, 0.3312], [0.6688, 0.0000, 0.6688], [0.0000, 0.0000, 0.0000], [0.3329, 0.3329, 0.6657], [0.3329, 0.6671, 0.0000], [0.6671, 0.3329, 0.0000], [0.6671, 0.6671, 0.3343]]}

***

No. 3
{"formula": "Er2HRu", "functional": "PBE-GGA", "state": "optimized geometry", "sg": "P4/mmm, No. 123", "total_energy_ev_per_cell": -22.6, "lattice": [[3.2490, 0.0000, 0.0000], [0.0000, 3.2490, 0.0000], [0.0000, 0.0000, 6.9882]], "species": ["Er", "Er", "H", "Ru"], "fractional_positions": [[0.0000, 0.0000, 0.2424], [0.0000, 0.0000, 0.7576], [0.5000, 0.5000, 0.5000], [0.5000, 0.5000, 0.0000]]}

***

Number 1: ΔE to the lowest computed polymorph 23 meV/atom, D(E_F) 2.0 states/eV/f.u.. Number 2: ΔE to the lowest computed polymorph 0 meV/atom, D(E_F) 12.5 states/eV/f.u.. Number 3: ΔE to the lowest computed polymorph 206 meV/atom, D(E_F) 2.0 states/eV/f.u..